# 1
Crystalline Re2GeTe at its relaxed geometry, computed with GGA-PBE.

Its crystal system is tetragonal. The uncorrected formation energy is 825 meV per atom. As for the total DFT energy (no corrections): -117.43 eV/cell. The density comes out at 12.24 g/cm³. The value obtained for the density of states at the Fermi level is 1.219 states/eV/atom. Its total magnetic moment is 0.00 μB per cell.

The structure belongs to space group I-42d (No. 122); the cell edges are 4.255, 4.255 and 17.164 Å and the angles 90.00°, 90.00° and 90.00°. The asymmetric unit holds Re at (0.183, 0.250, 0.125), Ge at (0.000, 0.000, 0.000) and Te at (0.000, 0.000, 0.500).

=====

# 2
Crystalline RhCO3 at its relaxed geometry, computed with GGA-PBE.

Its crystal system is cubic. The uncorrected formation energy is 1257 meV per atom. As for the total DFT energy (no corrections): -25.16 eV/cell. The density comes out at 4.94 g/cm³. The value obtained for the density of states at the Fermi level is 1.001 states/eV/atom. Its total magnetic moment is 0.28 μB per cell.

The structure belongs to space group Pm-3m (No. 221); the cell edges are 3.797, 3.797 and 3.797 Å and the angles 90.00°, 90.00° and 90.00°. The asymmetric unit holds Rh at (0.000, 0.000, 0.000), C at (0.500, 0.500, 0.500) and O at (0.000, 0.000, 0.500).